# Ta3NbAu PBE relaxed
# Magnetic moment: 0.00 μB/f.u.
# Distance to the lowest polymorph of the same formula: 1805 meV/atom
# E_form: 1.80 eV per atom
data_Ta3NbAu
_cell_length_a 4.900
_cell_length_b 4.900
_cell_length_c 4.900
_cell_angle_alpha 90.00
_cell_angle_beta 90.00
_cell_angle_gamma 90.00
_space_group_name_H-M_alt 'P m -3 m'
_space_group_IT_number 221
_space_group_name_Hall '-P 4 2 3'
loop_
_atom_site_label
_atom_site_fract_x
_atom_site_fract_y
_atom_site_fract_z
Ta1 0.000 0.000 0.500
Nb1 0.500 0.500 0.500
Au1 0.000 0.000 0.000

***

# AgRuRh2 PBE relaxed
# Magnetic moment: 0.51 μB/f.u.
# Distance to the lowest polymorph of the same formula: 241 meV/atom
# E_form: 0.37 eV per atom
data_AgRuRh2
_cell_length_a 2.753
_cell_length_b 4.664
_cell_length_c 9.497
_cell_angle_alpha 90.00
_cell_angle_beta 90.00
_cell_angle_gamma 90.00
_space_group_name_H-M_alt 'C m m 2'
_space_group_IT_number 35
_space_group_name_Hall 'C 2 -2'
loop_
_atom_site_label
_atom_site_fract_x
_atom_site_fract_y
_atom_site_fract_z
Ag1 0.000 0.000 0.000
Ru1 0.000 0.500 0.264
Rh1 0.000 0.000 0.499
Rh2 0.000 0.500 0.741

***

# LaGdDyAg PBE relaxed
# Magnetic moment: 7.66 μB/f.u.
# E_form: 0.06 eV per atom
data_LaGdDyAg
_cell_length_a 7.767
_cell_length_b 7.767
_cell_length_c 7.767
_cell_angle_alpha 90.00
_cell_angle_beta 90.00
_cell_angle_gamma 90.00
_space_group_name_H-M_alt 'F -4 3 m'
_space_group_IT_number 216
_space_group_name_Hall 'F -4 2 3'
loop_
_atom_site_label
_atom_site_fract_x
_atom_site_fract_y
_atom_site_fract_z
La1 0.000 0.000 0.000
Gd1 0.000 0.000 0.500
Dy1 0.250 0.250 0.750
Ag1 0.250 0.250 0.250

***

# Rb2InAuBr6 PBE relaxed
# Uncorrected formation energy: -1001 meV/atom
# Magnetic moment: 0.00 μB/f.u.
# Distance to the lowest polymorph of the same formula: 53 meV/atom
data_Rb2InAuBr6
_cell_length_a 11.103
_cell_length_b 11.103
_cell_length_c 11.103
_cell_angle_alpha 90.00
_cell_angle_beta 90.00
_cell_angle_gamma 90.00
_space_group_name_H-M_alt 'F m -3 m'
_space_group_IT_number 225
_space_group_name_Hall '-F 4 2 3'
loop_
_atom_site_label
_atom_site_fract_x
_atom_site_fract_y
_atom_site_fract_z
Rb1 0.250 0.250 0.250
In1 0.000 0.000 0.000
Au1 0.000 0.000 0.500
Br1 0.000 0.000 0.248